1.
PmAlH: optimized geometry, PBE-GGA.

Calculated values
The theoretical density is 5.00 g/cm³. As for the excess energy over the best structure of this formula in the dataset: 0.22 eV per formula unit. The calculation puts the density of states at the Fermi level at 2.5 states/eV/cell.

Cell lengths 4.2171, 4.2164, 7.8489 Å; angles 105.51, 90.01, 120.00 degrees
With the nearest neighbours (Å) after each atom.
Atoms (fractional coordinates):
Al1 0.1608 0.8216 0.9824  3 Al 2.45
Al2 0.8392 0.1784 0.0176  3 Al 2.45
Pm1 0.5992 0.6984 0.2990  4 H 2.33-2.53
Pm2 0.4008 0.3016 0.7010  4 H 2.33-2.53
H1 0.7032 0.9064 0.6109  4 Pm 2.33-2.53
H2 0.2968 0.0936 0.3891  4 Pm 2.33-2.53

=====

2.
BC2: optimized geometry, PBE-GGA.

Calculated values
The theoretical density is 3.02 g/cm³. The formation energy comes out at 79 kJ/mol of formula units. As for the excess energy over the best structure of this formula in the dataset: 0.10 eV per formula unit. The calculation puts the density of states at the Fermi level at 0.8 states/eV/cell.

Cell lengths 2.5641, 2.4682, 12.1161 Å; angles 90.00, 90.00, 90.00 degrees
With the nearest neighbours (Å) after each atom.
Atoms (fractional coordinates):
C1 0.0000 0.5000 0.3930  2 C 1.52, 2 B 1.62
C2 0.5000 0.0000 0.2447  4 C 1.52-1.58
C3 0.0000 0.5000 0.7430  2 C 1.49, 2 B 1.65
C4 0.0000 0.5000 0.0962  4 C 1.52-1.58
C5 0.0000 0.0000 0.0237  2 C 1.52, 2 B 1.62
C6 0.0000 0.0000 0.3205  4 C 1.52-1.58
C7 0.0000 0.0000 0.6737  2 C 1.49, 2 B 1.65
C8 0.5000 0.5000 0.1720  4 C 1.52-1.58
B1 0.5000 0.0000 0.5876  2 C 1.65, 2 B 1.84
B2 0.5000 0.0000 0.9422  2 C 1.62
B3 0.5000 0.5000 0.8291  2 C 1.65, 2 B 1.84
B4 0.5000 0.5000 0.4745  2 C 1.62

=====

3.
Ba4CuAg: optimized geometry, PBE-GGA.

Calculated values
The theoretical density is 4.44 g/cm³. The formation energy comes out at 395 kJ/mol of formula units. The calculation puts the density of states at the Fermi level at 9.0 states/eV/cell.

Cell lengths 7.2520, 7.2520, 7.2520 Å; angles 60.00, 60.00, 60.00 degrees
With the nearest neighbours (Å) after each atom.
Atoms (fractional coordinates):
Ag1 0.0000 0.0000 0.0000  12 Ba 4.25, 4 Cu 4.44
Ba1 0.3751 0.3751 0.3751  6 Ba 3.62-3.63
Ba2 0.3751 0.8747 0.3751  6 Ba 3.62-3.63
Ba3 0.3751 0.3751 0.8747  6 Ba 3.62-3.63
Ba4 0.8747 0.3751 0.3751  6 Ba 3.62-3.63
Cu1 0.7500 0.7500 0.7500  12 Ba 4.25, 4 Ag 4.44

=====

4.
Mo2Se: optimized geometry, PBE-GGA.

Calculated values
The theoretical density is 9.20 g/cm³. The calculation puts the uncorrected formation energy at 85 kJ/mol of formula units. As for the excess energy over the best structure of this formula in the dataset: 1.16 eV per formula unit. The calculation puts the density of states at the Fermi level at 3.5 states/eV/cell.

Cell lengths 4.3805, 4.3808, 2.9412 Å; angles 90.04, 90.00, 120.00 degrees
With the nearest neighbours (Å) after each atom.
Atoms (fractional coordinates):
Mo1 0.3333 0.6667 0.7991  3 Se 2.60, 3 Mo 2.79
Mo2 0.6667 0.3333 0.2009  3 Se 2.60, 3 Mo 2.79
Se1 0.0000 0.0000 0.0000  6 Mo 2.60

=====

5.
SmHo5Tl6: optimized geometry, PBE-GGA.

Calculated values
The theoretical density is 10.38 g/cm³. The formation energy comes out at -288 kJ/mol of formula units. As for the excess energy over the best structure of this formula in the dataset: 1.02 eV per formula unit. The calculation puts the density of states at the Fermi level at 11.1 states/eV/cell.

Cell lengths 6.5605, 9.7974, 7.4502 Å; angles 48.89, 81.71, 77.33 degrees
With the nearest neighbours (Å) after each atom.
Atoms (fractional coordinates):
Tl1 0.2532 0.5790 0.3387  5 Ho 3.19-3.24, 1 Sm 3.26
Tl2 0.2556 0.2513 0.0000  5 Ho 3.20-3.22, 1 Sm 3.27
Tl3 0.7468 0.4210 0.6613  5 Ho 3.19-3.24, 1 Sm 3.26
Tl4 0.7444 0.7487 0.0000  5 Ho 3.20-3.22, 1 Sm 3.27
Tl5 0.2532 0.9177 0.6613  5 Ho 3.19-3.24, 1 Sm 3.26
Tl6 0.7468 0.0823 0.3387  5 Ho 3.19-3.24, 1 Sm 3.26
Ho1 0.5000 0.5000 0.0000  6 Tl 3.20-3.23
Ho2 0.5000 0.8335 0.3330  6 Tl 3.19-3.23
Ho3 0.0000 0.6651 0.6698  6 Tl 3.22-3.24
Ho4 0.5000 0.1665 0.6670  6 Tl 3.19-3.23
Ho5 0.0000 0.3349 0.3302  6 Tl 3.22-3.24
Sm1 0.0000 0.0000 0.0000  6 Tl 3.26-3.27

=====

6.
Na2LaSnAu: optimized geometry, PBE-GGA.

Calculated values
The theoretical density is 2.87 g/cm³. The formation energy comes out at 450 kJ/mol of formula units. The calculation puts the density of states at the Fermi level at 5.4 states/eV/cell.

Cell lengths 7.0940, 5.7511, 7.0940 Å; angles 90.00, 90.00, 90.00 degrees
With the nearest neighbours (Å) after each atom.
Atoms (fractional coordinates):
Na1 0.5000 0.0000 0.0000  2 La 3.55
Na2 0.0000 0.0000 0.5000  2 La 3.55
La1 0.0000 0.0000 0.0000  2 Sn 2.88
Au1 0.5000 0.5000 0.5000  8 Na 4.57, 4 Sn 5.02
Sn1 0.0000 0.5000 0.0000  2 La 2.88

=====

7.
Ca2AcNd: optimized geometry, PBE-GGA.

Calculated values
The theoretical density is 4.57 g/cm³. The formation energy comes out at 9 kJ/mol of formula units. As for the excess energy over the best structure of this formula in the dataset: 0.00 eV per formula unit. The calculation puts the density of states at the Fermi level at 5.0 states/eV/cell.

Cell lengths 3.8865, 3.8865, 10.8524 Å; angles 90.00, 90.00, 90.00 degrees
With the nearest neighbours (Å) after each atom.
Atoms (fractional coordinates):
Ca1 0.5000 0.5000 0.2597  4 Nd 3.82, 8 Ca 3.89-3.92
Ca2 0.0000 0.0000 0.0018  8 Ca 3.89-3.92, 4 Ac 3.99
Ac1 0.5000 0.5000 0.7350  4 Nd 3.72, 4 Ac 3.89, 4 Ca 3.99
Nd1 0.0000 0.0000 0.5036  4 Ac 3.72, 4 Ca 3.82, 4 Nd 3.89

=====

8.
Tb2Pr4Dy2Ho: optimized geometry, PBE-GGA.

Calculated values
The theoretical density is 7.53 g/cm³. The formation energy comes out at 18 kJ/mol of formula units. The calculation puts the density of states at the Fermi level at 13.9 states/eV/cell.

Cell lengths 5.1251, 8.1113, 8.0817 Å; angles 107.55, 90.00, 108.42 degrees
With the nearest neighbours (Å) after each atom.
Atoms (fractional coordinates):
Dy1 0.3330 0.6660 0.0005  5 Pr 3.59-3.63, 3 Tb 3.60, 2 Dy 3.62, 2 Ho 3.63
Dy2 0.6670 0.3340 0.9995  5 Pr 3.59-3.63, 3 Tb 3.60, 2 Dy 3.62, 2 Ho 3.63
Pr1 0.5539 0.1079 0.3308  2 Dy 3.59-3.63, 2 Ho 3.60, 4 Tb 3.61-3.65, 4 Pr 3.62-3.65
Pr2 0.7774 0.5549 0.6690  3 Dy 3.59-3.61, 1 Ho 3.61, 3 Tb 3.62-3.67, 5 Pr 3.64-3.65
Pr3 0.2226 0.4451 0.3310  3 Dy 3.59-3.61, 1 Ho 3.61, 3 Tb 3.62-3.67, 5 Pr 3.64-3.65
Pr4 0.4461 0.8921 0.6692  2 Dy 3.59-3.63, 2 Ho 3.60, 4 Tb 3.61-3.65, 4 Pr 3.62-3.65
Tb1 0.8886 0.7772 0.3296  3 Dy 3.60, 1 Ho 3.60, 7 Pr 3.61-3.67, 1 Tb 3.65
Tb2 0.1114 0.2228 0.6704  3 Dy 3.60, 1 Ho 3.60, 7 Pr 3.61-3.67, 1 Tb 3.65
Ho1 0.0000 0.0000 0.0000  2 Tb 3.60, 6 Pr 3.60-3.61, 4 Dy 3.63

=====

Per-record total moment, μB per cell: 0.0, 0.0, 0.0, 0.0, 0.0, 0.0, 0.0, 0.0